VASP calculation (PBE) on a geometry-optimized KCaY2Te structure.

Unit cell a=5.9843 b=5.8762 c=5.9843 alpha=90.00 beta=90.00 gamma=90.00
With the nearest neighbours (Å) after each atom.
Sites, in units of the cell vectors:
Y (0.0000, 0.0000, 0.5000)  2 Ca 2.99
Y (0.5000, 0.0000, 0.0000)  2 Ca 2.99
Ca (0.0000, 0.0000, 0.0000)  2 Te 2.94, 4 Y 2.99
Te (0.0000, 0.5000, 0.0000)  2 Ca 2.94
K (0.5000, 0.5000, 0.5000)  8 Y 4.19, 4 Te 4.23

Values from the calculation:
N(E_F), states/eV/atom: 1.191
Energy relative to the elements, uncorrected, eV/atom: 0.46